<a>
This record from Alexandria via LeMat-Bulk describes a relaxed structure of ZrOsRu2. The functional is GGA-PBE.

The density comes out at 12794 kg/m3.

The space group is P2/m (No. 10) and the conventional cell measures 4.7924, 2.8609 and 4.8474 Å, with angles of 90.00, 109.19 and 90.00 degrees. The distinct sites, in fractional coordinates, are Zr at (0.0000, 0.0000, 0.0000), Os at (0.0000, 0.5000, 0.5000), Ru at (0.5000, 0.0000, 0.5000) and Ru at (0.5000, 0.5000, 0.0000).

<b>
This record from Alexandria via LeMat-Bulk describes a relaxed structure of ZrOsRu2. The functional is GGA-PBE.

The density comes out at 12599 kg/m3.

The space group is C2/m (No. 12) and the conventional cell measures 9.2685, 2.8685 and 4.8817 Å, with angles of 90.00, 100.85 and 90.00 degrees. The distinct sites, in fractional coordinates, are Zr at (0.0000, 0.0000, 0.0000), Os at (0.0000, 0.5000, 0.5000) and Ru at (0.2397, 0.0000, 0.7189).

Last place for stability: <a>

<a>
This record from Alexandria via LeMat-Bulk describes a relaxed structure of ZrOsRu2. The functional is GGA-PBE.

The density comes out at 12595 kg/m3.

The space group is Pmm2 (No. 25) and the conventional cell measures 2.8453, 3.8636 and 5.7996 Å, with angles of 90.00, 90.00 and 90.00 degrees. The distinct sites, in fractional coordinates, are Zr at (0.0000, 0.0000, 0.0000), Os at (0.5000, 0.5000, 0.2879), Ru at (0.0000, 0.0000, 0.4937) and Ru at (0.5000, 0.5000, 0.7340).

<b>
This record from Alexandria via LeMat-Bulk describes a relaxed structure of ZrOsRu2. The functional is GGA-PBE.

The density comes out at 12659 kg/m3.

The space group is P4/mmm (No. 123) and the conventional cell measures 4.5776, 4.5776 and 3.0274 Å, with angles of 90.00, 90.00 and 90.00 degrees. The distinct sites, in fractional coordinates, are Zr at (0.0000, 0.0000, 0.0000), Os at (0.5000, 0.5000, 0.0000) and Ru at (0.0000, 0.5000, 0.5000).

<c>
This record from Alexandria via LeMat-Bulk describes a relaxed structure of ZrOsRu2. The functional is GGA-PBE.

The density comes out at 12483 kg/m3.

The space group is F-43m (No. 216) and the conventional cell measures 6.3604, 6.3604 and 6.3604 Å, with angles of 90.00, 90.00 and 90.00 degrees. The distinct sites, in fractional coordinates, are Zr at (0.0000, 0.0000, 0.0000), Os at (0.2500, 0.2500, 0.2500), Ru at (0.0000, 0.0000, 0.5000) and Ru at (0.2500, 0.2500, 0.7500).

<d>
This record from Alexandria via LeMat-Bulk describes a relaxed structure of ZrOsRu2. The functional is GGA-PBE.

The density comes out at 12421 kg/m3.

The space group is P4/mmm (No. 123) and the conventional cell measures 3.3100, 3.3100 and 5.9006 Å, with angles of 90.00, 90.00 and 90.00 degrees. The distinct sites, in fractional coordinates, are Zr at (0.0000, 0.0000, 0.0000), Os at (0.0000, 0.0000, 0.5000) and Ru at (0.5000, 0.5000, 0.2724).

Last place for stability: <c>

<a>
This record from Alexandria via LeMat-Bulk describes a relaxed structure of ZrOsRu2. The functional is GGA-PBE.

The density comes out at 12721 kg/m3.

The space group is I-4m2 (No. 119) and the conventional cell measures 3.9498, 3.9498 and 8.0925 Å, with angles of 90.00, 90.00 and 90.00 degrees. The distinct sites, in fractional coordinates, are Zr at (0.0000, 0.0000, 0.0000), Os at (0.0000, 0.5000, 0.7500), Ru at (0.0000, 0.0000, 0.5000) and Ru at (0.0000, 0.5000, 0.2500).

<b>
This record from Alexandria via LeMat-Bulk describes a relaxed structure of ZrOsRu2. The functional is GGA-PBE.

The density comes out at 12634 kg/m3.

The space group is P4/mmm (No. 123) and the conventional cell measures 2.8466, 2.8466 and 7.8440 Å, with angles of 90.00, 90.00 and 90.00 degrees. The distinct sites, in fractional coordinates, are Zr at (0.0000, 0.0000, 0.0000), Os at (0.0000, 0.0000, 0.5000) and Ru at (0.5000, 0.5000, 0.2776).

Last place for stability: <b>

<a>
This record from Alexandria via LeMat-Bulk describes a relaxed structure of OsS. The functional is GGA-PBE.

The density comes out at 12269 kg/m3.

The space group is Fm-3m (No. 225) and the conventional cell measures 4.9372, 4.9372 and 4.9372 Å, with angles of 90.00, 90.00 and 90.00 degrees. The distinct sites, in fractional coordinates, are Os at (0.0000, 0.0000, 0.0000) and S at (0.0000, 0.0000, 0.5000).

<b>
This record from Alexandria via LeMat-Bulk describes a relaxed structure of OsS. The functional is GGA-PBE.

The density comes out at 7811 kg/m3.

The space group is P4/m (No. 83) and the conventional cell measures 9.9472, 9.9472 and 3.8208 Å, with angles of 90.00, 90.00 and 90.00 degrees. The distinct sites, in fractional coordinates, are Os at (0.0674, 0.6210, 0.0000), Os at (0.1005, 0.2910, 0.5000), S at (0.1336, 0.7371, 0.5000) and S at (0.1601, 0.4086, 0.0000).

<c>
This record from Alexandria via LeMat-Bulk describes a relaxed structure of OsS. The functional is GGA-PBE.

The density comes out at 10481 kg/m3.

The space group is Pmmn (No. 59, origin choice 2) and the conventional cell measures 2.9642, 9.9771 and 7.1452 Å, with angles of 90.00, 90.00 and 90.00 degrees. The distinct sites, in fractional coordinates, are Os at (0.2500, 0.1126, 0.0538), Os at (0.2500, 0.7500, 0.4376), S at (0.2500, 0.2500, 0.3162) and S at (0.2500, 0.6038, 0.1988).

<d>
This record from Alexandria via LeMat-Bulk describes a relaxed structure of OsS. The functional is GGA-PBE.

The density comes out at 8676 kg/m3.

The space group is Fddd (No. 70, origin choice 2) and the conventional cell measures 7.0038, 8.6068 and 11.2934 Å, with angles of 90.00, 90.00 and 90.00 degrees. The distinct sites, in fractional coordinates, are Os at (0.1250, 0.1250, 0.0048) and S at (0.1250, 0.3406, 0.1250).

Last place for stability: <a>

<a>
This record from Alexandria via LeMat-Bulk describes a relaxed structure of OsS4. The functional is GGA-PBE.

The density comes out at 5494 kg/m3.

The space group is Pm-3m (No. 221) and the conventional cell measures 4.5829, 4.5829 and 4.5829 Å, with angles of 90.00, 90.00 and 90.00 degrees. The distinct sites, in fractional coordinates, are Os at (0.0000, 0.0000, 0.0000), S at (0.0000, 0.0000, 0.5000) and S at (0.5000, 0.5000, 0.5000).

<b>
This record from Alexandria via LeMat-Bulk describes a relaxed structure of OsS4. The functional is GGA-PBE.

The density comes out at 4993 kg/m3.

The space group is P2_1/c (No. 14) and the conventional cell measures 6.8317, 4.6942 and 6.6263 Å, with angles of 90.00, 94.44 and 90.00 degrees. The distinct sites, in fractional coordinates, are Os at (0.0000, 0.0000, 0.0000), S at (0.1773, 0.1733, 0.7315) and S at (0.2487, 0.6769, 0.0531).

Last place for stability: <a>

<a>
This record from Alexandria via LeMat-Bulk describes a relaxed structure of Sb3OsS. The functional is GGA-PBE.

The density comes out at 7808 kg/m3.

The space group is Pm-3m (No. 221) and the conventional cell measures 4.9994, 4.9994 and 4.9994 Å, with angles of 90.00, 90.00 and 90.00 degrees. The distinct sites, in fractional coordinates, are Sb at (0.0000, 0.0000, 0.5000), Os at (0.5000, 0.5000, 0.5000) and S at (0.0000, 0.0000, 0.0000).

<b>
This record from Alexandria via LeMat-Bulk describes a relaxed structure of Sb3OsS. The functional is GGA-PBE.

The density comes out at 7224 kg/m3.

The space group is Pm-3m (No. 221) and the conventional cell measures 5.1307, 5.1307 and 5.1307 Å, with angles of 90.00, 90.00 and 90.00 degrees. The distinct sites, in fractional coordinates, are Sb at (0.0000, 0.0000, 0.5000), Os at (0.0000, 0.0000, 0.0000) and S at (0.5000, 0.5000, 0.5000).

Last place for stability: <a>

<a>
This record from Alexandria via LeMat-Bulk describes a relaxed structure of Sb2TeOsS. The functional is GGA-PBE.

The density comes out at 7897 kg/m3.

The space group is P4/mmm (No. 123) and the conventional cell measures 5.0030, 5.0030 and 4.9853 Å, with angles of 90.00, 90.00 and 90.00 degrees. The distinct sites, in fractional coordinates, are Sb at (0.0000, 0.5000, 0.0000), Te at (0.0000, 0.0000, 0.5000), Os at (0.5000, 0.5000, 0.5000) and S at (0.0000, 0.0000, 0.0000).

<b>
This record from Alexandria via LeMat-Bulk describes a relaxed structure of Sb2TeOsS. The functional is GGA-PBE.

The density comes out at 7183 kg/m3.

The space group is P4/mmm (No. 123) and the conventional cell measures 5.1621, 5.1621 and 5.1482 Å, with angles of 90.00, 90.00 and 90.00 degrees. The distinct sites, in fractional coordinates, are Sb at (0.0000, 0.5000, 0.0000), Te at (0.0000, 0.0000, 0.5000), Os at (0.0000, 0.0000, 0.0000) and S at (0.5000, 0.5000, 0.5000).

Last place for stability: <a>

<a>
This record from Alexandria via LeMat-Bulk describes a relaxed structure of ScOsS2. The functional is GGA-PBE.

The density comes out at 8321 kg/m3.

The space group is Fm-3m (No. 225) and the conventional cell measures 6.2051, 6.2051 and 6.2051 Å, with angles of 90.00, 90.00 and 90.00 degrees. The distinct sites, in fractional coordinates, are Sc at (0.0000, 0.0000, 0.0000), Os at (0.0000, 0.0000, 0.5000) and S at (0.2500, 0.2500, 0.2500).

<b>
This record from Alexandria via LeMat-Bulk describes a relaxed structure of ScOsS2. The functional is GGA-PBE.

The density comes out at 6374 kg/m3.

The space group is I-42d (No. 122) and the conventional cell measures 4.8600, 4.8600 and 13.2053 Å, with angles of 90.00, 90.00 and 90.00 degrees. The distinct sites, in fractional coordinates, are Sc at (0.0000, 0.0000, 0.0000), Os at (0.0000, 0.0000, 0.5000) and S at (0.2117, 0.2500, 0.6250).

Last place for stability: <a>

<a>
This record from Alexandria via LeMat-Bulk describes a relaxed structure of ScOsS2. The functional is GGA-PBE.

The density comes out at 6896 kg/m3.

The space group is R-3m (No. 166, hexagonal axes) and the conventional cell measures 3.2597, 3.2597 and 23.4970 Å, with angles of 90.00, 90.00 and 120.00 degrees. The distinct sites, in fractional coordinates, are Sc at (0.0000, 0.0000, 0.0000), Os at (0.0000, 0.0000, 0.5000) and S at (0.0000, 0.0000, 0.4039).

<b>
This record from Alexandria via LeMat-Bulk describes a relaxed structure of ScOsS2. The functional is GGA-PBE.

The density comes out at 5914 kg/m3.

The space group is R-3m (No. 166, hexagonal axes) and the conventional cell measures 3.6601, 3.6601 and 21.7320 Å, with angles of 90.00, 90.00 and 120.00 degrees. The distinct sites, in fractional coordinates, are Sc at (0.0000, 0.0000, 0.0000), Os at (0.0000, 0.0000, 0.5000) and S at (0.0000, 0.0000, 0.1154).

Last place for stability: <b>

<a>
This record from Alexandria via LeMat-Bulk describes a relaxed structure of OsSeS. The functional is GGA-PBE.

The density comes out at 9555 kg/m3.

The space group is Fdd2 (No. 43) and the conventional cell measures 9.5685, 11.7205 and 7.4690 Å, with angles of 90.00, 90.00 and 90.00 degrees. The distinct sites, in fractional coordinates, are Os at (0.0057, 0.2565, 0.0000), Se at (0.1052, 0.4333, 0.5015) and S at (0.1116, 0.4379, 0.9989).

<b>
This record from Alexandria via LeMat-Bulk describes a relaxed structure of OsSeS. The functional is GGA-PBE.

The density comes out at 9621 kg/m3.

The space group is P2_1/c (No. 14) and the conventional cell measures 6.0531, 5.8511 and 6.0445 Å, with angles of 90.00, 103.70 and 90.00 degrees. The distinct sites, in fractional coordinates, are Os at (0.2385, 0.0103, 0.2459), Se at (0.3531, 0.6266, 0.1461) and S at (0.1392, 0.1258, 0.8591).

Last place for stability: <a>